Compound: PmPrEr2Sc4
Source: the Alexandria database
Functional: PBE-GGA
Structure: relaxed

Lattice parameters (Å, degrees): 9.1182 9.1182 6.5542 111.06 111.06 88.20
Sites, in units of the cell vectors:
Pm 0.0000 0.5000 0.0000
Pm 0.5000 0.0000 0.5000
Pr 0.0000 0.0000 0.0000
Pr 0.0000 0.0000 0.5000
Er 0.0000 0.5000 0.5000
Er 0.5000 0.0000 0.0000
Er 0.5000 0.5000 0.0000
Er 0.5000 0.5000 0.5000
Sc 0.2529 0.2558 0.5053
Sc 0.2540 0.7459 0.5007
Sc 0.2541 0.7460 0.9993
Sc 0.2558 0.2529 0.0053
Sc 0.7442 0.7471 0.9947
Sc 0.7459 0.2540 0.0007
Sc 0.7460 0.2541 0.4993
Sc 0.7471 0.7442 0.4947

Output
The crystal system is monoclinic. As for the total energy: -81.1 eV per cell. As for the space group: C2/c (15).